The following is a PBE calculation of a geometry-optimized NaSmFeTe3 structure, from the Open Quantum Materials Database.

Properties
- Electronic total energy: -4.77 eV per atom
- Calculated volume: 31.57 Å³ per atom

Cell lengths 9.022, 4.255, 10.182 Å; angles 90.00, 104.21, 90.00 degrees
Each line ends with the local moment (μB).
Fractional coordinates of all 12 atoms:
Te 0.768 0.250 0.972  0.11
Te 0.931 0.750 0.662  0.09
Te 0.232 0.750 0.028  0.11
Fe 0.935 0.750 0.924  3.08
Te 0.431 0.750 0.667  0.03
Te 0.569 0.250 0.333  0.03
Te 0.069 0.250 0.338  0.09
Sm 0.323 0.750 0.351  0.04
Na 0.791 0.750 0.248  0.00
Na 0.209 0.250 0.752  0.00
Sm 0.677 0.250 0.649  0.04
Fe 0.065 0.250 0.076  3.08